No. 1
KAgRh2: relaxed, PBE.

Cell: 6.130 6.130 6.130 Å, 153.47 128.74 58.64°
Site moments in Bohr magnetons follow the coordinates.
Positions (direct):
K (0.756, 0.256, 0.500)  0.00
Ag (0.469, 0.469, 0.000)  0.01
Rh (0.236, 0.736, 0.500)  0.44
Rh (0.039, 0.039, 0.000)  0.59

## Properties
**Formation energy from the elements**: 0.584 eV per atom

=====

No. 2
K3AgRh: relaxed, PBE.

Cell: 5.942 5.942 5.942 Å, 90.00 90.00 90.00°
Positions (direct):
K (0.500, 0.000, 0.000)
K (0.000, 0.500, 0.000)
Rh (0.000, 0.000, 0.000)
Ag (0.500, 0.500, 0.500)
K (0.000, 0.000, 0.500)

## Properties
**Formation energy from the elements**: 0.595 eV per atom

=====

No. 3
KAgRh2: relaxed, PBE.

Cell: 5.274 5.274 2.723 Å, 90.00 90.00 90.00°
Site moments in Bohr magnetons follow the coordinates.
Positions (direct):
Rh (0.000, 0.000, 0.000)  0.74
Ag (0.500, 0.000, 0.500)  0.01
K (0.000, 0.500, 0.500)  -0.01
Rh (0.500, 0.500, 0.000)  0.74

## Properties
**Formation energy from the elements**: 0.837 eV per atom

=====

No. 4
KAgRh2: relaxed, PBE.

Cell: 2.783 2.783 9.592 Å, 90.00 90.00 90.00°
Site moments in Bohr magnetons follow the coordinates.
Positions (direct):
Rh (0.000, 0.000, 0.031)  0.74
Rh (0.000, 0.000, 0.469)  0.74
Ag (0.500, 0.500, 0.250)  0.04
K (0.500, 0.500, 0.750)  -0.01

## Properties
**Formation energy from the elements**: 0.604 eV per atom

=====

| no. | M_tot (μB per formula unit) |
| --- | --- |
| 1 | 1.07 |
| 2 | 0.00 |
| 3 | 1.48 |
| 4 | 1.49 |